# 1
DFT (GGA-PBE) results for an optimized crystal structure of Pr8GePt2.

a b c (Å): 7.8788 7.8788 6.3229
angles (deg): 99.02 99.02 112.92
Sites, in units of the cell vectors:
1 Pr 0.0000 0.0000 0.0000
2 Pr 0.0439 0.3005 0.6002
3 Pr 0.1520 0.6028 0.2063
4 Pr 0.3005 0.0439 0.6002
5 Pr 0.4506 0.7157 0.8215
6 Pr 0.6028 0.1520 0.2063
7 Pr 0.7157 0.4506 0.8215
8 Pr 0.7231 0.7231 0.3773
9 Ge 0.3629 0.3629 0.0262
10 Pt 0.0558 0.6872 0.6828
11 Pt 0.6872 0.0558 0.6828

Values from the calculation:
Symmetry: No. 8
Total energy: -5.450 eV/atom

# 2
DFT (GGA-PBE) results for an optimized crystal structure of TiAl2Mo.

a b c (Å): 6.2922 6.2922 6.2922
angles (deg): 90.00 90.00 90.00
Sites, in units of the cell vectors:
1 Ti 0.0000 0.0000 0.0000
2 Ti 0.0000 0.5000 0.5000
3 Ti 0.5000 0.0000 0.5000
4 Ti 0.5000 0.5000 0.0000
5 Al 0.2500 0.2500 0.2500
6 Al 0.2500 0.2500 0.7500
7 Al 0.2500 0.7500 0.2500
8 Al 0.2500 0.7500 0.7500
9 Al 0.7500 0.2500 0.2500
10 Al 0.7500 0.2500 0.7500
11 Al 0.7500 0.7500 0.2500
12 Al 0.7500 0.7500 0.7500
13 Mo 0.0000 0.0000 0.5000
14 Mo 0.0000 0.5000 0.0000
15 Mo 0.5000 0.0000 0.0000
16 Mo 0.5000 0.5000 0.5000

Values from the calculation:
Symmetry: No. 225
Polymorph energy (0 for the lowest one): 0.71 eV per formula unit

# 3
DFT (GGA-PBE) results for an optimized crystal structure of Sr3LiY2S6.

a b c (Å): 7.0492 7.0492 7.1045
angles (deg): 99.50 99.50 119.99
Sites, in units of the cell vectors:
1 Sr 0.0000 0.0000 0.0000
2 Sr 0.3357 0.6643 0.0000
3 Sr 0.6643 0.3357 0.0000
4 Li 0.5000 0.5000 0.5000
5 Y 0.1671 0.8329 0.5000
6 Y 0.8329 0.1671 0.5000
7 S 0.0865 0.4238 0.2717
8 S 0.2387 0.2387 0.7261
9 S 0.4238 0.0865 0.2717
10 S 0.5762 0.9135 0.7283
11 S 0.7613 0.7613 0.2739
12 S 0.9135 0.5762 0.7283

Values from the calculation:
Symmetry: No. 12
Uncorrected formation energy: -1.99 eV/atom

# 4
DFT (GGA-PBE) results for an optimized crystal structure of Y2ZrIr.

a b c (Å): 3.5505 5.1566 10.6112
angles (deg): 90.00 90.00 90.00
Sites, in units of the cell vectors:
1 Y 0.0000 0.0000 0.0000
2 Y 0.0000 0.5000 0.2068
3 Y 0.5000 0.0000 0.7068
4 Y 0.5000 0.5000 0.5000
5 Zr 0.0000 0.5000 0.7990
6 Zr 0.5000 0.0000 0.2990
7 Ir 0.0000 0.0000 0.4868
8 Ir 0.5000 0.5000 0.9868

Values from the calculation:
Symmetry: No. 44
Polymorph energy (0 for the lowest one): 0.00 eV per formula unit

# 5
DFT (GGA-PBE) results for an optimized crystal structure of YHo6Er3Tm2.

a b c (Å): 6.0892 6.0892 11.6555
angles (deg): 94.98 94.98 119.93
Sites, in units of the cell vectors:
1 Y 0.0000 0.0000 0.0000
2 Ho 0.0840 0.4182 0.2503
3 Ho 0.2504 0.2504 0.7497
4 Ho 0.4182 0.0840 0.2503
5 Ho 0.5818 0.9160 0.7497
6 Ho 0.7496 0.7496 0.2503
7 Ho 0.9160 0.5818 0.7497
8 Er 0.1667 0.8333 0.5000
9 Er 0.5000 0.5000 0.5000
10 Er 0.8333 0.1667 0.5000
11 Tm 0.3333 0.6667 0.0000
12 Tm 0.6667 0.3333 0.0000

Values from the calculation:
Symmetry: No. 12
Total energy: -4.691 eV/atom

# 6
DFT (GGA-PBE) results for an optimized crystal structure of Zr2TiAl3.

a b c (Å): 5.4238 5.4238 8.7154
angles (deg): 90.00 90.00 120.00
Sites, in units of the cell vectors:
1 Zr 0.3333 0.6667 0.0512
2 Zr 0.3333 0.6667 0.4488
3 Zr 0.6667 0.3333 0.5512
4 Zr 0.6667 0.3333 0.9488
5 Ti 0.0000 0.0000 0.0000
6 Ti 0.0000 0.0000 0.5000
7 Al 0.1712 0.3424 0.7500
8 Al 0.1712 0.8288 0.7500
9 Al 0.3424 0.1712 0.2500
10 Al 0.6576 0.8288 0.7500
11 Al 0.8288 0.1712 0.2500
12 Al 0.8288 0.6576 0.2500

Values from the calculation:
Symmetry: No. 194
Total energy: -6.464 eV/atom

# 7
DFT (GGA-PBE) results for an optimized crystal structure of HfTaAs2.

a b c (Å): 3.5485 3.5485 20.7243
angles (deg): 90.00 90.00 120.00
Sites, in units of the cell vectors:
1 Hf 0.0000 0.0000 0.0000
2 Hf 0.3333 0.6667 0.6667
3 Hf 0.6667 0.3333 0.3333
4 Ta 0.0000 0.0000 0.1665
5 Ta 0.3333 0.6667 0.8331
6 Ta 0.6667 0.3333 0.4998
7 As 0.0000 0.0000 0.4191
8 As 0.0000 0.0000 0.5795
9 As 0.3333 0.6667 0.0858
10 As 0.3333 0.6667 0.2461
11 As 0.6667 0.3333 0.7524
12 As 0.6667 0.3333 0.9128

Values from the calculation:
Symmetry: No. 160
Polymorph energy (0 for the lowest one): 0.00 eV per formula unit

# 8
DFT (GGA-PBE) results for an optimized crystal structure of Pu2NpTc.

a b c (Å): 2.9436 2.9436 32.4220
angles (deg): 90.00 90.00 120.00
Sites, in units of the cell vectors:
1 Pu 0.0000 0.0000 0.0777
2 Pu 0.0000 0.0000 0.9223
3 Pu 0.3333 0.6667 0.5890
4 Pu 0.3333 0.6667 0.7443
5 Pu 0.6667 0.3333 0.2557
6 Pu 0.6667 0.3333 0.4110
7 Np 0.0000 0.0000 0.5000
8 Np 0.3333 0.6667 0.1667
9 Np 0.6667 0.3333 0.8333
10 Tc 0.0000 0.0000 0.0000
11 Tc 0.3333 0.6667 0.6667
12 Tc 0.6667 0.3333 0.3333

Values from the calculation:
Symmetry: No. 166
Polymorph energy (0 for the lowest one): 1.68 eV per formula unit

# 9
DFT (GGA-PBE) results for an optimized crystal structure of K4Tm3ScO8.

a b c (Å): 7.3474 7.3474 7.3474
angles (deg): 54.77 54.77 54.77
Sites, in units of the cell vectors:
1 K 0.0000 0.0000 0.0000
2 K 0.0000 0.5000 0.5000
3 K 0.5000 0.0000 0.5000
4 K 0.5000 0.5000 0.0000
5 Tm 0.0000 0.0000 0.5000
6 Tm 0.0000 0.5000 0.0000
7 Tm 0.5000 0.0000 0.0000
8 Sc 0.5000 0.5000 0.5000
9 O 0.2279 0.2279 0.2279
10 O 0.2354 0.7227 0.7227
11 O 0.2773 0.2773 0.7646
12 O 0.2773 0.7646 0.2773
13 O 0.7227 0.2354 0.7227
14 O 0.7227 0.7227 0.2354
15 O 0.7646 0.2773 0.2773
16 O 0.7721 0.7721 0.7721

Values from the calculation:
Symmetry: No. 166
Uncorrected formation energy: -2.80 eV/atom

# 10
DFT (GGA-PBE) results for an optimized crystal structure of Zr3MnW.

a b c (Å): 4.7238 4.7238 4.7238
angles (deg): 90.00 90.00 90.00
Sites, in units of the cell vectors:
1 Zr 0.0000 0.0000 0.5000
2 Zr 0.0000 0.5000 0.0000
3 Zr 0.5000 0.0000 0.0000
4 Mn 0.0000 0.0000 0.0000
5 W 0.5000 0.5000 0.5000

Values from the calculation:
Symmetry: No. 221
Polymorph energy (0 for the lowest one): 0.00 eV per formula unit

# 11
DFT (GGA-PBE) results for an optimized crystal structure of CaGeH.

a b c (Å): 3.9479 3.9479 7.9588
angles (deg): 90.00 90.00 120.00
Sites, in units of the cell vectors:
1 Ca 0.0000 0.0000 0.0000
2 Ca 0.3333 0.6667 0.6456
3 Ge 0.3333 0.6667 0.2385
4 Ge 0.6667 0.3333 0.3753
5 H 0.0000 0.0000 0.7085
6 H 0.6667 0.3333 0.8694

Values from the calculation:
Symmetry: No. 156
Polymorph energy (0 for the lowest one): 0.11 eV per formula unit

# 12
DFT (GGA-PBE) results for an optimized crystal structure of NdAg4Ge2.

a b c (Å): 4.2389 15.6681 4.2112
angles (deg): 90.00 90.00 90.00
Sites, in units of the cell vectors:
1 Nd 0.0000 0.0000 0.0000
2 Nd 0.5000 0.5000 0.0000
3 Ag 0.0000 0.1826 0.5000
4 Ag 0.0000 0.3156 0.0000
5 Ag 0.0000 0.6844 0.0000
6 Ag 0.0000 0.8174 0.5000
7 Ag 0.5000 0.1844 0.0000
8 Ag 0.5000 0.3174 0.5000
9 Ag 0.5000 0.6826 0.5000
10 Ag 0.5000 0.8156 0.0000
11 Ge 0.0000 0.4216 0.5000
12 Ge 0.0000 0.5784 0.5000
13 Ge 0.5000 0.0784 0.5000
14 Ge 0.5000 0.9216 0.5000

Values from the calculation:
Symmetry: No. 65
Total energy: -3.893 eV/atom

# 13
DFT (GGA-PBE) results for an optimized crystal structure of CaBe2BrO.

a b c (Å): 5.7983 5.7983 4.1081
angles (deg): 90.00 90.00 90.00
Sites, in units of the cell vectors:
1 Ca 0.0000 0.0000 0.0000
2 Be 0.0000 0.5000 0.0000
3 Be 0.5000 0.0000 0.0000
4 Br 0.5000 0.5000 0.5000
5 O 0.0000 0.0000 0.5000

Values from the calculation:
Symmetry: No. 123
Uncorrected formation energy: 0.66 eV/atom

# 14
DFT (GGA-PBE) results for an optimized crystal structure of YCuSe2Br.

a b c (Å): 5.4874 5.4874 5.5157
angles (deg): 90.00 90.00 90.00
Sites, in units of the cell vectors:
1 Y 0.0000 0.0000 0.0000
2 Cu 0.5000 0.5000 0.5000
3 Se 0.0000 0.5000 0.0000
4 Se 0.5000 0.0000 0.0000
5 Br 0.0000 0.0000 0.5000

Values from the calculation:
Symmetry: No. 123
Uncorrected formation energy: -0.28 eV/atom
Polymorph energy (0 for the lowest one): 1.37 eV per formula unit

# 15
DFT (GGA-PBE) results for an optimized crystal structure of Lu5Ge3.

a b c (Å): 8.3022 8.3022 6.2250
angles (deg): 90.00 90.00 120.00
Sites, in units of the cell vectors:
1 Lu 0.0000 0.2408 0.2500
2 Lu 0.0000 0.7592 0.7500
3 Lu 0.2408 0.0000 0.2500
4 Lu 0.2408 0.2408 0.7500
5 Lu 0.3333 0.6667 0.0000
6 Lu 0.3333 0.6667 0.5000
7 Lu 0.6667 0.3333 0.0000
8 Lu 0.6667 0.3333 0.5000
9 Lu 0.7592 0.0000 0.7500
10 Lu 0.7592 0.7592 0.2500
11 Ge 0.0000 0.3940 0.7500
12 Ge 0.0000 0.6060 0.2500
13 Ge 0.3940 0.0000 0.7500
14 Ge 0.3940 0.3940 0.2500
15 Ge 0.6060 0.0000 0.2500
16 Ge 0.6060 0.6060 0.7500

Values from the calculation:
Symmetry: No. 193
Total energy: -5.355 eV/atom

# 16
DFT (GGA-PBE) results for an optimized crystal structure of NdTmPa4.

a b c (Å): 6.1630 6.1630 6.1630
angles (deg): 60.00 60.00 60.00
Sites, in units of the cell vectors:
1 Nd 0.0000 0.0000 0.0000
2 Tm 0.2500 0.2500 0.2500
3 Pa 0.1256 0.6248 0.6248
4 Pa 0.6248 0.1256 0.6248
5 Pa 0.6248 0.6248 0.1256
6 Pa 0.6248 0.6248 0.6248

Values from the calculation:
Symmetry: No. 216
Total energy: -7.630 eV/atom

# 17
DFT (GGA-PBE) results for an optimized crystal structure of Ti2SiAg.

a b c (Å): 7.2188 7.2188 5.2793
angles (deg): 90.00 90.00 90.00
Sites, in units of the cell vectors:
1 Ti 0.2352 0.2500 0.1250
2 Ti 0.2500 0.7352 0.3750
3 Ti 0.2500 0.7648 0.8750
4 Ti 0.2648 0.2500 0.6250
5 Ti 0.7352 0.7500 0.6250
6 Ti 0.7500 0.2352 0.8750
7 Ti 0.7500 0.2648 0.3750
8 Ti 0.7648 0.7500 0.1250
9 Si 0.0000 0.0000 0.0000
10 Si 0.0000 0.5000 0.2500
11 Si 0.5000 0.0000 0.7500
12 Si 0.5000 0.5000 0.5000
13 Ag 0.0000 0.0000 0.5000
14 Ag 0.0000 0.5000 0.7500
15 Ag 0.5000 0.0000 0.2500
16 Ag 0.5000 0.5000 0.0000

Values from the calculation:
Symmetry: No. 122
Uncorrected formation energy: 0.11 eV/atom

# 18
DFT (GGA-PBE) results for an optimized crystal structure of Y2Hg3Au.

a b c (Å): 3.4550 4.8806 8.4637
angles (deg): 90.00 90.00 90.00
Sites, in units of the cell vectors:
1 Y 0.0000 0.0000 0.0000
2 Y 0.0000 0.5000 0.4687
3 Hg 0.5000 0.0000 0.6463
4 Hg 0.5000 0.5000 0.1499
5 Hg 0.5000 0.5000 0.8146
6 Au 0.5000 0.0000 0.3156

Values from the calculation:
Symmetry: No. 25
Total energy: -3.356 eV/atom

# 19
DFT (GGA-PBE) results for an optimized crystal structure of K3Rb4Cd2.

a b c (Å): 10.9704 10.9704 10.6511
angles (deg): 111.30 111.30 29.41
Sites, in units of the cell vectors:
1 K 0.0000 0.0000 0.0000
2 K 0.0890 0.0890 0.6930
3 K 0.9110 0.9110 0.3070
4 Rb 0.2297 0.2297 0.1569
5 Rb 0.3967 0.3967 0.6583
6 Rb 0.6033 0.6033 0.3417
7 Rb 0.7703 0.7703 0.8431
8 Cd 0.3980 0.3980 0.0625
9 Cd 0.6020 0.6020 0.9375

Values from the calculation:
Symmetry: No. 12
Total energy: -0.998 eV/atom